[1]
K2Te | the Alexandria database | PBEsol | optimized geometry; formation energy from raw total energies = -1.00 eV/atom; uncorrected energy = -2.926 eV per atom; Fermi-level density of states = 0.000 states/eV per atom
1.0
0.000 4.043 4.043
4.043 0.000 4.043
4.043 4.043 0.000
K Te
2 1
direct
0.250 0.250 0.250
0.750 0.750 0.750
0.000 0.000 0.000



[2]
LuBO3 | the Alexandria database | PBEsol | optimized geometry; formation energy from raw total energies = -3.11 eV/atom; uncorrected energy = -8.637 eV per atom; Fermi-level density of states = 0.000 states/eV per atom
1.0
8.229 0.000 0.000
0.000 3.113 2.143
0.000 -3.113 2.143
Lu B O
2 2 6
direct
0.000 0.000 0.000
0.500 0.000 0.000
0.250 0.691 0.414
0.750 0.414 0.691
0.100 0.588 0.243
0.250 0.935 0.783
0.400 0.588 0.243
0.600 0.243 0.588
0.750 0.783 0.935
0.900 0.243 0.588



[3]
CdHgBr2 | the Alexandria database | PBEsol | optimized geometry; excess energy over the best structure of this formula in the dataset = 96 meV/atom; formation energy from raw total energies = -0.44 eV/atom; uncorrected energy = -1.820 eV per atom; Fermi-level density of states = 0.000 states/eV per atom
1.0
-4.123 4.123 3.618
4.123 -4.123 3.618
4.123 4.123 -3.618
Cd Hg Br
2 2 4
direct
0.000 0.000 0.000
0.750 0.250 0.500
0.250 0.750 0.500
0.500 0.500 0.000
0.042 0.125 0.417
0.375 0.958 0.083
0.708 0.625 0.583
0.875 0.292 0.917



| no. | magnetization (μB per cell) |
| --- | --- |
| 1 | 0.00 |
| 2 | 0.00 |
| 3 | 0.00 |